The following is a PBE calculation of a geometry-optimized CsErCuSe2 structure, from Alexandria via LeMat-Bulk.

abc: 4.577 8.448 8.228
angles: 96.62 90.00 90.00
Fractional positions:
Se 0.648 0.786 0.976
Se 0.352 0.214 0.024
Se 0.352 0.786 0.476
Se 0.648 0.214 0.524
Cu 0.000 0.000 0.500
Cu 0.000 0.000 0.000
Cs 0.866 0.500 0.250
Cs 0.134 0.500 0.750
Er 0.504 0.000 0.750
Er 0.496 0.000 0.250

Energy relative to the elements, uncorrected ... -1009.9 meV/atom
N(E_F) ... 4.19 states/eV per cell

---

The following is a PBE calculation of a geometry-optimized RbPt structure, from Alexandria via LeMat-Bulk.

abc: 12.241 12.241 4.722
angles: 90.00 90.00 90.00
Fractional positions:
Pt 0.728 0.272 0.500
Pt 0.228 0.228 0.000
Pt 0.728 0.728 0.500
Pt 0.772 0.228 0.000
Pt 0.228 0.772 0.000
Pt 0.272 0.728 0.500
Pt 0.272 0.272 0.500
Pt 0.772 0.772 0.000
Rb 0.746 0.000 0.500
Rb 0.254 0.000 0.500
Rb 0.246 0.500 0.000
Rb 0.000 0.746 0.500
Rb 0.500 0.246 0.000
Rb 0.000 0.254 0.500
Rb 0.500 0.754 0.000
Rb 0.754 0.500 0.000

N(E_F) ... 7.85 states/eV per cell
DFT formation energy ... 0.03 eV per atom

---

The following is a PBE calculation of a geometry-optimized KCd3Pt structure, from Alexandria via LeMat-Bulk.

abc: 14.813 9.299 9.299
angles: 93.13 131.42 48.58
Fractional positions:
Pt 0.750 0.541 0.041
Pt 0.250 0.459 0.959
Pt 0.750 0.249 0.749
Pt 0.250 0.751 0.251
Cd 0.997 0.981 0.743
Cd 0.998 0.747 0.976
Cd 0.503 0.243 0.481
Cd 0.003 0.019 0.257
Cd 0.502 0.476 0.247
Cd 0.749 0.767 0.860
Cd 0.498 0.524 0.753
Cd 0.497 0.757 0.519
Cd 0.249 0.640 0.733
Cd 0.002 0.253 0.024
Cd 0.751 0.360 0.267
Cd 0.251 0.233 0.140
K 0.748 0.969 0.211
K 0.752 0.711 0.469
K 0.252 0.031 0.789
K 0.248 0.289 0.531

ΔE to the lowest computed polymorph ... 9.4 kJ/mol of atoms
N(E_F) ... 3.53 states/eV per cell
DFT formation energy ... -0.16 eV per atom

---

The following is a PBE calculation of a geometry-optimized SmTlAgCl6 structure, from Alexandria via LeMat-Bulk.

abc: 6.921 6.921 13.290
angles: 90.00 90.00 120.00
Fractional positions:
Cl 0.646 0.641 0.135
Cl 0.359 0.354 0.365
Cl 0.641 0.646 0.635
Cl 0.646 0.006 0.365
Cl 0.354 0.994 0.635
Cl 0.006 0.359 0.635
Cl 0.359 0.006 0.135
Cl 0.354 0.359 0.865
Cl 0.994 0.641 0.365
Cl 0.641 0.994 0.865
Cl 0.994 0.354 0.135
Cl 0.006 0.646 0.865
Ag 0.333 0.667 0.750
Ag 0.667 0.333 0.250
Tl 0.000 0.000 0.500
Tl 0.000 0.000 0.000
Sm 0.333 0.667 0.250
Sm 0.667 0.333 0.750

Energy relative to the elements, uncorrected ... -1331.5 meV/atom
N(E_F) ... 10.17 states/eV per cell

---

The following is a PBE calculation of a geometry-optimized K3In6Pb5 structure, from Alexandria via LeMat-Bulk.

abc: 5.126 11.987 14.917
angles: 90.00 90.00 90.00
Fractional positions:
In 0.000 0.623 0.350
In 0.500 0.377 0.850
In 0.500 0.377 0.150
In 0.000 0.623 0.650
In 0.500 0.034 0.640
In 0.500 0.936 0.000
In 0.000 0.442 0.500
In 0.500 0.558 0.000
In 0.000 0.064 0.500
In 0.000 0.966 0.860
In 0.000 0.966 0.140
In 0.500 0.034 0.360
Pb 0.500 0.256 0.500
Pb 0.000 0.528 0.846
Pb 0.000 0.883 0.341
Pb 0.500 0.117 0.159
Pb 0.000 0.528 0.154
Pb 0.500 0.472 0.346
Pb 0.000 0.883 0.659
Pb 0.500 0.472 0.654
Pb 0.500 0.117 0.841
Pb 0.000 0.744 0.000
K 0.500 0.752 0.500
K 0.000 0.248 0.000
K 0.500 0.751 0.198
K 0.500 0.751 0.802
K 0.000 0.249 0.302
K 0.000 0.249 0.698

N(E_F) ... 15.06 states/eV per cell
DFT formation energy ... -0.10 eV per atom

---

The following is a PBE calculation of a geometry-optimized MnCuS2 structure, from Alexandria via LeMat-Bulk.

abc: 6.075 3.201 9.034
angles: 100.21 131.39 74.72
Site moments in Bohr magnetons follow the coordinates.
Fractional positions:
Cu 0.360 0.527 0.984  0.01
Cu 0.613 0.312 0.806  -0.01
Mn 0.004 0.513 0.599  -0.04
Mn 0.797 0.963 0.293  2.07
S 0.258 0.874 0.576  -0.01
S 0.859 0.353 0.134  -0.03
S 0.979 0.114 0.777  0.01
S 0.542 0.603 0.319  -0.07

Energy relative to the elements, uncorrected ... -383.6 meV/atom
N(E_F) ... 3.47 states/eV per cell

---

- Among the records above, which one has the highest N(E_F)?
  K3In6Pb5

---

- Look up the N(E_F) of the sixth one.
  3.47 states/eV per cell

---

- Among the records above, which one has the lowest N(E_F)?
  MnCuS2

---

- What is the formula in the first record?
  CsErCuSe2